1.
KBPt3 | PBE | relaxed

abc: 3.5627 3.5627 18.8090
angles: 90.00 90.00 120.00
Space group P6_3/mmc (No. 194)
Unique sites:
K: 0.0000 0.0000 0.0000
B: 0.3333 0.6667 0.2500
Pt: 0.0000 0.0000 0.2500
Pt: 0.3333 0.6667 0.1418

Properties
Uncorrected energy = -4.85 eV per atom
DOS(E_F) = 0.5705 states/eV per atom
DFT formation energy = 1.6 eV/f.u.


2.
MoP | PBE | relaxed

abc: 3.2383 3.2383 3.2073
angles: 90.00 90.00 120.00
Space group P-6m2 (No. 187)
Unique sites:
Mo: 0.0000 0.0000 0.0000
P: 0.6667 0.3333 0.5000

Properties
Uncorrected energy = -8.79 eV per atom
DOS(E_F) = 0.3798 states/eV per atom
DFT formation energy = -1.3 eV/f.u.


3.
PmErPb6 | PBE | relaxed

abc: 4.8929 4.8929 9.7898
angles: 90.00 90.00 90.00
Space group P4/mmm (No. 123)
Unique sites:
Pm: 0.0000 0.0000 0.0000
Er: 0.0000 0.0000 0.5000
Pb: 0.0000 0.5000 0.2540
Pb: 0.5000 0.5000 0.0000
Pb: 0.5000 0.5000 0.5000

Properties
Uncorrected energy = -4.25 eV per atom
DOS(E_F) = 0.5239 states/eV per atom
DFT formation energy = -2.4 eV/f.u.


4.
CsCd3I | PBE | relaxed

abc: 6.9636 6.9636 6.9636
angles: 90.00 90.00 90.00
Space group Pm-3m (No. 221)
Unique sites:
Cs: 0.0000 0.0000 0.0000
Cd: 0.0000 0.5000 0.5000
I: 0.5000 0.5000 0.5000

Properties
Uncorrected energy = -0.95 eV per atom
DOS(E_F) = 0.0000 states/eV per atom


5.
LiCaTc2 | PBE | relaxed

abc: 5.1662 9.8034 2.6560
angles: 90.00 90.00 90.00
Space group Cmmm (No. 65)
Unique sites:
Li: 0.0000 0.0000 0.0000
Ca: 0.0000 0.5000 0.0000
Tc: 0.2500 0.2500 0.5000

Properties
Uncorrected energy = -5.66 eV per atom
Offset from the most stable computed form = 109.0 kJ/mol of formula units
DOS(E_F) = 0.3771 states/eV per atom
DFT formation energy = 2.0 eV/f.u.


6.
PaMn2AlC | PBE | relaxed

abc: 4.0671 10.8134 6.5184
angles: 90.00 90.00 90.00
Space group Cmcm (No. 63)
Unique sites:
Pa: 0.0000 0.0649 0.2500
Mn: 0.0000 0.3396 0.0765
Al: 0.0000 0.2214 0.7500
C: 0.0000 0.5000 0.0000

Properties
Uncorrected energy = -8.34 eV per atom
DOS(E_F) = 0.7774 states/eV per atom
DFT formation energy = -0.9 eV/f.u.


7.
Na3H8Pt | PBE | relaxed

abc: 4.8857 4.8857 10.2160
angles: 90.00 90.00 90.00
Space group I4/mmm (No. 139)
Unique sites:
Na: 0.0000 0.0000 0.0000
Na: 0.0000 0.5000 0.2500
H: 0.2074 0.2074 0.3993
Pt: 0.0000 0.0000 0.5000

Properties
Uncorrected energy = -2.96 eV per atom
DOS(E_F) = 0.3479 states/eV per atom


8.
Ba2LiHIr | PBE | relaxed

abc: 5.6646 5.6646 3.8650
angles: 90.00 90.00 90.00
Space group P4/mmm (No. 123)
Unique sites:
Ba: 0.0000 0.5000 0.0000
Li: 0.0000 0.0000 0.5000
H: 0.5000 0.5000 0.0000
Ir: 0.5000 0.5000 0.5000

Properties
Uncorrected energy = -3.66 eV per atom
Offset from the most stable computed form = 0.0 kJ/mol of formula units
DOS(E_F) = 0.5636 states/eV per atom